one.
DFT (PBE) results for a relaxed CaTeSeN2 crystal.

```
data_CaTeSeN2
_cell_length_a 4.497
_cell_length_b 4.497
_cell_length_c 5.861
_cell_angle_alpha 90.00
_cell_angle_beta 90.00
_cell_angle_gamma 90.00
_symmetry_space_group_name_H-M 'P 4/m m m'
_symmetry_Int_Tables_number 123
_symmetry_space_group_name_Hall '-P 4 2'
loop_
_atom_site_label
_atom_site_type_symbol
_atom_site_fract_x
_atom_site_fract_y
_atom_site_fract_z
Ca1 Ca 0.000 0.000 0.000
Te1 Te 0.500 0.500 0.500
Se1 Se 0.000 0.000 0.500
N1 N 0.000 0.500 0.000
```

Properties
Total magnetic moment ... 0.11 μB per atom
Fermi-level density of states ... 1.21 states/eV per atom

***

two.
DFT (PBE) results for a relaxed CaTeSeN2 crystal.

```
data_CaTeSeN2
_cell_length_a 4.495
_cell_length_b 4.495
_cell_length_c 6.629
_cell_angle_alpha 90.00
_cell_angle_beta 90.00
_cell_angle_gamma 90.00
_symmetry_space_group_name_H-M 'P 4/m m m'
_symmetry_Int_Tables_number 123
_symmetry_space_group_name_Hall '-P 4 2'
loop_
_atom_site_label
_atom_site_type_symbol
_atom_site_fract_x
_atom_site_fract_y
_atom_site_fract_z
Ca1 Ca 0.000 0.000 0.000
Te1 Te 0.000 0.000 0.500
Se1 Se 0.500 0.500 0.500
N1 N 0.000 0.500 0.000
```

Properties
Total magnetic moment ... 0.93 μB per atom
Fermi-level density of states ... 0.57 states/eV per atom

***

three.
DFT (PBE) results for a relaxed CaTeSeN2 crystal.

```
data_CaTeSeN2
_cell_length_a 4.201
_cell_length_b 4.201
_cell_length_c 5.674
_cell_angle_alpha 90.00
_cell_angle_beta 90.00
_cell_angle_gamma 90.00
_symmetry_space_group_name_H-M 'P 4/m m m'
_symmetry_Int_Tables_number 123
_symmetry_space_group_name_Hall '-P 4 2'
loop_
_atom_site_label
_atom_site_type_symbol
_atom_site_fract_x
_atom_site_fract_y
_atom_site_fract_z
Ca1 Ca 0.000 0.000 0.000
Te1 Te 0.500 0.500 0.000
Se1 Se 0.500 0.500 0.500
N1 N 0.000 0.500 0.500
```

Properties
Total magnetic moment ... 0.40 μB per atom
Fermi-level density of states ... 0.55 states/eV per atom

***

four.
DFT (PBE) results for a relaxed CaTeSeN2 crystal.

```
data_CaTeSeN2
_cell_length_a 4.108
_cell_length_b 4.108
_cell_length_c 5.647
_cell_angle_alpha 90.00
_cell_angle_beta 90.00
_cell_angle_gamma 90.00
_symmetry_space_group_name_H-M 'P 4/m m m'
_symmetry_Int_Tables_number 123
_symmetry_space_group_name_Hall '-P 4 2'
loop_
_atom_site_label
_atom_site_type_symbol
_atom_site_fract_x
_atom_site_fract_y
_atom_site_fract_z
Ca1 Ca 0.000 0.000 0.000
Te1 Te 0.500 0.500 0.500
Se1 Se 0.500 0.500 0.000
N1 N 0.000 0.500 0.500
```

Properties
Total magnetic moment ... 0.00 μB per atom
Fermi-level density of states ... 0.28 states/eV per atom

***

Stability, highest: four

***

one.
DFT (PBE) results for a relaxed CaTe2SeN crystal.

```
data_CaTe2SeN
_cell_length_a 5.856
_cell_length_b 5.856
_cell_length_c 4.171
_cell_angle_alpha 90.00
_cell_angle_beta 90.00
_cell_angle_gamma 90.00
_symmetry_space_group_name_H-M 'P 4/m m m'
_symmetry_Int_Tables_number 123
_symmetry_space_group_name_Hall '-P 4 2'
loop_
_atom_site_label
_atom_site_type_symbol
_atom_site_fract_x
_atom_site_fract_y
_atom_site_fract_z
Ca1 Ca 0.000 0.000 0.000
Te1 Te 0.000 0.500 0.000
Se1 Se 0.500 0.500 0.500
N1 N 0.000 0.000 0.500
```

Properties
Total magnetic moment ... 0.00 μB per atom
Fermi-level density of states ... 1.33 states/eV per atom

***

two.
DFT (PBE) results for a relaxed CaTe2SeN crystal.

```
data_CaTe2SeN
_cell_length_a 5.837
_cell_length_b 5.837
_cell_length_c 3.746
_cell_angle_alpha 90.00
_cell_angle_beta 90.00
_cell_angle_gamma 90.00
_symmetry_space_group_name_H-M 'P 4/m m m'
_symmetry_Int_Tables_number 123
_symmetry_space_group_name_Hall '-P 4 2'
loop_
_atom_site_label
_atom_site_type_symbol
_atom_site_fract_x
_atom_site_fract_y
_atom_site_fract_z
Ca1 Ca 0.000 0.000 0.000
Te1 Te 0.000 0.500 0.500
Se1 Se 0.500 0.500 0.500
N1 N 0.500 0.500 0.000
```

Properties
Total magnetic moment ... 0.00 μB per atom
Fermi-level density of states ... 0.53 states/eV per atom

***

Stability, highest: two

***

one.
DFT (PBE) results for a relaxed CaTlSe2N crystal.

```
data_CaTlSe2N
_cell_length_a 5.607
_cell_length_b 5.607
_cell_length_c 4.484
_cell_angle_alpha 90.00
_cell_angle_beta 90.00
_cell_angle_gamma 90.00
_symmetry_space_group_name_H-M 'P 4/m m m'
_symmetry_Int_Tables_number 123
_symmetry_space_group_name_Hall '-P 4 2'
loop_
_atom_site_label
_atom_site_type_symbol
_atom_site_fract_x
_atom_site_fract_y
_atom_site_fract_z
Ca1 Ca 0.000 0.000 0.000
Tl1 Tl 0.500 0.500 0.500
Se1 Se 0.000 0.500 0.000
N1 N 0.000 0.000 0.500
```

Properties
Total magnetic moment ... 0.00 μB per atom
Fermi-level density of states ... 1.53 states/eV per atom

***

two.
DFT (PBE) results for a relaxed CaTlSe2N crystal.

```
data_CaTlSe2N
_cell_length_a 5.515
_cell_length_b 5.515
_cell_length_c 4.335
_cell_angle_alpha 90.00
_cell_angle_beta 90.00
_cell_angle_gamma 90.00
_symmetry_space_group_name_H-M 'P 4/m m m'
_symmetry_Int_Tables_number 123
_symmetry_space_group_name_Hall '-P 4 2'
loop_
_atom_site_label
_atom_site_type_symbol
_atom_site_fract_x
_atom_site_fract_y
_atom_site_fract_z
Ca1 Ca 0.000 0.000 0.000
Tl1 Tl 0.500 0.500 0.500
Se1 Se 0.000 0.500 0.500
N1 N 0.500 0.500 0.000
```

Properties
Total magnetic moment ... 0.41 μB per atom
Fermi-level density of states ... 0.44 states/eV per atom

***

Stability, highest: two